Entry 1:
# TaMn2HgW | Alexandria via LeMat-Bulk | PBE | relaxed
data_TaMn2HgW
_space_group_name_H-M_alt 'P 4/m m m'
_space_group_IT_number 123
_space_group_name_Hall '-P 4 2'
_cell_length_a 4.741
_cell_length_b 4.741
_cell_length_c 4.806
_cell_angle_alpha 90.00
_cell_angle_beta 90.00
_cell_angle_gamma 90.00
loop_
_atom_site_label
_atom_site_type_symbol
_atom_site_fract_x
_atom_site_fract_y
_atom_site_fract_z
_atom_site_occupancy
Ta1 Ta 0.000 0.000 0.000 1
Mn1 Mn 0.000 0.500 0.000 1
Hg1 Hg 0.500 0.500 0.500 1
W1 W 0.000 0.000 0.500 1
# Energy of formation from the pure elements in meV/atom: 1628


Entry 2:
# KAgN3 | Alexandria via LeMat-Bulk | PBE | relaxed
data_KAgN3
_space_group_name_H-M_alt 'P m -3 m'
_space_group_IT_number 221
_space_group_name_Hall '-P 4 2 3'
_cell_length_a 4.858
_cell_length_b 4.858
_cell_length_c 4.858
_cell_angle_alpha 90.00
_cell_angle_beta 90.00
_cell_angle_gamma 90.00
loop_
_atom_site_label
_atom_site_type_symbol
_atom_site_fract_x
_atom_site_fract_y
_atom_site_fract_z
_atom_site_occupancy
K1 K 0.000 0.000 0.000 1
Ag1 Ag 0.500 0.500 0.500 1
N1 N 0.000 0.000 0.500 1
# Formation energy without anion corrections in meV/atom: 3300


Entry 3:
# ScCoTc2 | Alexandria via LeMat-Bulk | PBE | relaxed
data_ScCoTc2
_space_group_name_H-M_alt 'P 4 m m'
_space_group_IT_number 99
_cell_length_a 3.090
_cell_length_b 3.090
_cell_length_c 6.343
_cell_angle_alpha 90.00
_cell_angle_beta 90.00
_cell_angle_gamma 90.00
loop_
_space_group_symop_operation_xyz
'x,y,z'
'-y,x,z'
'-x,-y,z'
'y,-x,z'
'-x,y,z'
'y,x,z'
'x,-y,z'
'-y,-x,z'
loop_
_atom_site_label
_atom_site_type_symbol
_atom_site_fract_x
_atom_site_fract_y
_atom_site_fract_z
_atom_site_occupancy
Sc1 Sc 0.000 0.000 0.000 1
Co1 Co 0.500 0.500 0.746 1
Tc1 Tc 0.000 0.000 0.513 1
Tc2 Tc 0.500 0.500 0.289 1
# Energy of formation from the pure elements in meV/atom: -79
# ΔE to the lowest computed polymorph in meV/atom: 16


Entry 4:
# TiV8Mo2 | Alexandria via LeMat-Bulk | PBE | relaxed
data_TiV8Mo2
_space_group_name_H-M_alt 'C 1 2/m 1'
_space_group_IT_number 12
_cell_length_a 11.703
_cell_length_b 4.467
_cell_length_c 7.712
_cell_angle_alpha 90.00
_cell_angle_beta 126.89
_cell_angle_gamma 90.00
loop_
_space_group_symop_operation_xyz
'x,y,z'
'-x,-y,-z'
'-x,y,-z'
'x,-y,z'
'x+1/2,y+1/2,z'
'-x+1/2,-y+1/2,-z'
'-x+1/2,y+1/2,-z'
'x+1/2,-y+1/2,z'
loop_
_atom_site_label
_atom_site_type_symbol
_atom_site_fract_x
_atom_site_fract_y
_atom_site_fract_z
_atom_site_occupancy
Ti1 Ti 0.000 0.000 0.000 1
V1 V 0.054 0.500 0.871 1
V2 V 0.058 0.000 0.395 1
V3 V 0.186 0.500 0.339 1
V4 V 0.197 0.000 0.865 1
Mo1 Mo 0.146 0.500 0.634 1
# Energy of formation from the pure elements in meV/atom: 166


Entry 5:
# Zr3Tc4P4 | Alexandria via LeMat-Bulk | PBE | relaxed
data_Zr3Tc4P4
_space_group_name_H-M_alt 'I m m m'
_space_group_IT_number 71
_space_group_name_Hall '-I 2 2'
_cell_length_a 3.811
_cell_length_b 7.024
_cell_length_c 12.860
_cell_angle_alpha 90.00
_cell_angle_beta 90.00
_cell_angle_gamma 90.00
loop_
_atom_site_label
_atom_site_type_symbol
_atom_site_fract_x
_atom_site_fract_y
_atom_site_fract_z
_atom_site_occupancy
Zr1 Zr 0.000 0.000 0.000 1
Zr2 Zr 0.000 0.500 0.117 1
Tc1 Tc 0.000 0.306 0.325 1
P1 P 0.000 0.000 0.222 1
P2 P 0.000 0.208 0.500 1
# Energy of formation from the pure elements in meV/atom: -869


Entry 6:
# GaAuN2F | Alexandria via LeMat-Bulk | PBE | relaxed
data_GaAuN2F
_space_group_name_H-M_alt 'P 4/m m m'
_space_group_IT_number 123
_space_group_name_Hall '-P 4 2'
_cell_length_a 3.991
_cell_length_b 3.991
_cell_length_c 3.831
_cell_angle_alpha 90.00
_cell_angle_beta 90.00
_cell_angle_gamma 90.00
loop_
_atom_site_label
_atom_site_type_symbol
_atom_site_fract_x
_atom_site_fract_y
_atom_site_fract_z
_atom_site_occupancy
Ga1 Ga 0.000 0.000 0.000 1
Au1 Au 0.500 0.500 0.500 1
N1 N 0.000 0.500 0.000 1
F1 F 0.000 0.000 0.500 1
# ΔE to the lowest computed polymorph in meV/atom: 0
# Formation energy without anion corrections in meV/atom: 702


Entry 7:
# La2DyTm3 | Alexandria via LeMat-Bulk | PBE | relaxed
data_La2DyTm3
_space_group_name_H-M_alt 'P -1'
_space_group_IT_number 2
_cell_length_a 6.673
_cell_length_b 6.675
_cell_length_c 9.020
_cell_angle_alpha 97.62
_cell_angle_beta 97.64
_cell_angle_gamma 95.32
loop_
_space_group_symop_operation_xyz
'x,y,z'
'-x,-y,-z'
loop_
_atom_site_label
_atom_site_type_symbol
_atom_site_fract_x
_atom_site_fract_y
_atom_site_fract_z
_atom_site_occupancy
La1 La 0.125 0.126 0.375 1
La2 La 0.374 0.375 0.125 1
Dy1 Dy 0.414 0.081 0.747 1
Tm1 Tm 0.085 0.420 0.753 1
Tm2 Tm 0.169 0.836 0.003 1
Tm3 Tm 0.330 0.664 0.498 1
# Energy of formation from the pure elements in meV/atom: 77
# ΔE to the lowest computed polymorph in meV/atom: 0


Entry 8:
# CaAcMg2Ge2 | Alexandria via LeMat-Bulk | PBE | relaxed
data_CaAcMg2Ge2
_space_group_name_H-M_alt 'P -3 m 1'
_space_group_IT_number 164
_space_group_name_Hall '-P 3 2"'
_cell_length_a 4.7198
_cell_length_b 4.7198
_cell_length_c 7.7918
_cell_angle_alpha 90.00
_cell_angle_beta 90.00
_cell_angle_gamma 120.00
loop_
_atom_site_label
_atom_site_type_symbol
_atom_site_fract_x
_atom_site_fract_y
_atom_site_fract_z
_atom_site_occupancy
Ca1 Ca 0.0000 0.0000 0.0000 1
Ac1 Ac 0.0000 0.0000 0.5000 1
Mg1 Mg 0.3333 0.6667 0.2015 1
Ge1 Ge 0.3333 0.6667 0.7698 1
# Energy of formation from the pure elements in meV/atom: -516


Entry 9:
# BeMoPd | Alexandria via LeMat-Bulk | PBE | relaxed
data_BeMoPd
_space_group_name_H-M_alt 'P 1 m 1'
_space_group_IT_number 6
_cell_length_a 2.722
_cell_length_b 3.457
_cell_length_c 8.510
_cell_angle_alpha 90.00
_cell_angle_beta 95.55
_cell_angle_gamma 90.00
loop_
_space_group_symop_operation_xyz
'x,y,z'
'x,-y,z'
loop_
_atom_site_label
_atom_site_type_symbol
_atom_site_fract_x
_atom_site_fract_y
_atom_site_fract_z
_atom_site_occupancy
Be1 Be 0.000 0.000 0.000 1
Be2 Be 0.040 0.500 0.155 1
Mo1 Mo 0.153 0.500 0.481 1
Mo2 Mo 0.892 0.000 0.675 1
Pd1 Pd 0.467 0.500 0.906 1
Pd2 Pd 0.575 0.000 0.249 1
# Energy of formation from the pure elements in meV/atom: -133
# ΔE to the lowest computed polymorph in meV/atom: 106


Entry 10:
# ScHgRuPb2 | Alexandria via LeMat-Bulk | PBE | relaxed
data_ScHgRuPb2
_space_group_name_H-M_alt 'P 4/m m m'
_space_group_IT_number 123
_space_group_name_Hall '-P 4 2'
_cell_length_a 5.729
_cell_length_b 5.729
_cell_length_c 4.536
_cell_angle_alpha 90.00
_cell_angle_beta 90.00
_cell_angle_gamma 90.00
loop_
_atom_site_label
_atom_site_type_symbol
_atom_site_fract_x
_atom_site_fract_y
_atom_site_fract_z
_atom_site_occupancy
Sc1 Sc 0.000 0.000 0.000 1
Hg1 Hg 0.500 0.500 0.500 1
Ru1 Ru 0.000 0.000 0.500 1
Pb1 Pb 0.000 0.500 0.000 1
# Energy of formation from the pure elements in meV/atom: 692
# ΔE to the lowest computed polymorph in meV/atom: 0


Entry 11:
# Rb12Na3Ag5 | Alexandria via LeMat-Bulk | PBE | relaxed
data_Rb12Na3Ag5
_space_group_name_H-M_alt 'I a -3 d'
_space_group_IT_number 230
_space_group_name_Hall '-I 4bd 2c 3'
_cell_length_a 22.348
_cell_length_b 22.348
_cell_length_c 22.348
_cell_angle_alpha 90.00
_cell_angle_beta 90.00
_cell_angle_gamma 90.00
loop_
_atom_site_label
_atom_site_type_symbol
_atom_site_fract_x
_atom_site_fract_y
_atom_site_fract_z
_atom_site_occupancy
Rb1 Rb 0.029 0.063 0.647 1
Na1 Na 0.000 0.250 0.125 1
Ag1 Ag 0.000 0.000 0.000 1
Ag2 Ag 0.000 0.250 0.375 1
# Energy of formation from the pure elements in meV/atom: 153


Entry 12:
# PRuW | Alexandria via LeMat-Bulk | PBE | relaxed
data_PRuW
_space_group_name_H-M_alt 'F -4 3 m'
_space_group_IT_number 216
_space_group_name_Hall 'F -4 2 3'
_cell_length_a 5.842
_cell_length_b 5.842
_cell_length_c 5.842
_cell_angle_alpha 90.00
_cell_angle_beta 90.00
_cell_angle_gamma 90.00
loop_
_atom_site_label
_atom_site_type_symbol
_atom_site_fract_x
_atom_site_fract_y
_atom_site_fract_z
_atom_site_occupancy
P1 P 0.000 0.000 0.000 1
Ru1 Ru 0.000 0.000 0.500 1
W1 W 0.250 0.250 0.750 1
# Energy of formation from the pure elements in meV/atom: 205


The evaluated Fermi-level density of states for the records listed, in turn: 4.38, 1.94, 2.73, 23.16, 17.08, 2.10, 19.13, 2.83, 3.34, 4.62, 142.89, 13.98 states/eV per cell.
The evaluated total moment for the records listed, in turn: 1.158, 0.473, 0.459, 0.000, 0.000, 0.259, 0.000, 0.000, 0.000, 0.000, 0.000, 0.000 μB per atom.